# 1
Ga2ReIN: optimized geometry, GGA-PBE.

total magnetization = 0.494 μB/atom
space-group type = P4/mmm
energy = -21.409 eV for the cell shown
E_form (uncorrected) = 1.39 eV/atom
mass density = 6.0 Mg/m³

Cell: 4.9665 5.2257 4.9665 Å, 90.00 90.00 90.00°
Site moments in Bohr magnetons follow the coordinates.
Fractional positions:
I 0.0000 0.5000 0.0000  0.03
Re 0.0000 0.0000 0.0000  -0.11
Ga 0.0000 0.0000 0.5000  0.00
Ga 0.5000 0.0000 0.0000  0.01
N 0.5000 0.5000 0.5000  1.69

***

# 2
CaHgBr: optimized geometry, GGA-PBE.

total magnetization = 0.000 μB/atom
offset from the most stable computed form = 61 meV per atom
space-group type = Imm2
energy = -28.773 eV for the cell shown
E_form (uncorrected) = -1.07 eV/atom
mass density = 5.6 Mg/m³

Cell: 14.2500 5.0767 5.2603 Å, 90.00 90.00 90.00°
Fractional positions:
Ca 0.3635 0.0000 0.5469
Ca 0.6365 0.0000 0.5469
Ca 0.8635 0.5000 0.0469
Ca 0.1365 0.5000 0.0469
Hg 0.0000 0.5000 0.5686
Hg 0.5000 0.0000 0.0686
Hg 0.0000 0.0000 0.2085
Hg 0.5000 0.5000 0.7085
Br 0.2512 0.0000 0.0474
Br 0.7488 0.0000 0.0474
Br 0.7512 0.5000 0.5474
Br 0.2488 0.5000 0.5474